Here is a geometry-optimized PrGeHPd2 structure from Alexandria via LeMat-Bulk. Energies are from PBE.

It has space group Cmcm (No. 63), with a = 4.036 Å, b = 11.000 Å, c = 7.413 Å, α = 90.00°, β = 90.00° and γ = 90.00°. The asymmetric unit holds Pr at (0.000, 0.058, 0.250), Ge at (0.000, 0.226, 0.750), H at (0.000, 0.500, 0.000) and Pd at (0.000, 0.340, 0.055).

The value obtained for the total magnetization is 0.00 μB/atom. The value obtained for the density of states at the Fermi level is 0.33 states/eV per atom.

=====

Here is a geometry-optimized Pr2GeHPd6 structure from Alexandria via LeMat-Bulk. Energies are from PBE.

It has space group C2/m (No. 12), with a = 10.046 Å, b = 5.795 Å, c = 6.932 Å, α = 90.00°, β = 119.26° and γ = 90.00°. The asymmetric unit holds Pr at (0.225, 0.000, 0.179), Ge at (0.000, 0.500, 0.000), H at (0.000, 0.000, 0.500), Pd at (0.018, 0.249, 0.309) and Pd at (0.229, 0.000, 0.687).

The value obtained for the total magnetization is 0.00 μB/atom. The value obtained for the density of states at the Fermi level is 0.54 states/eV per atom.

=====

Here is a geometry-optimized GeHPdPt2 structure from Alexandria via LeMat-Bulk. Energies are from PBE.

It has space group P4/mmm (No. 123), with a = 3.970 Å, b = 3.970 Å, c = 4.189 Å, α = 90.00°, β = 90.00° and γ = 90.00°. The asymmetric unit holds Ge at (0.000, 0.000, 0.000), H at (0.500, 0.500, 0.500), Pd at (0.500, 0.500, 0.000) and Pt at (0.000, 0.500, 0.500).

The value obtained for the total magnetization is 0.00 μB/atom. The value obtained for the density of states at the Fermi level is 0.74 states/eV per atom.

=====

Here is a geometry-optimized PuGeHPd2 structure from Alexandria via LeMat-Bulk. Energies are from PBE.

It has space group Cmcm (No. 63), with a = 3.923 Å, b = 10.999 Å, c = 7.393 Å, α = 90.00°, β = 90.00° and γ = 90.00°. The asymmetric unit holds Pu at (0.000, 0.050, 0.250), Ge at (0.000, 0.233, 0.750), H at (0.000, 0.500, 0.000) and Pd at (0.000, 0.342, 0.057).

The value obtained for the total magnetization is 1.09 μB/atom. The value obtained for the density of states at the Fermi level is 2.47 states/eV per atom.

=====

Here is a geometry-optimized Pu2GeHPd structure from Alexandria via LeMat-Bulk. Energies are from PBE.

It has space group P2_1/m (No. 11), with a = 6.149 Å, b = 4.534 Å, c = 6.873 Å, α = 90.00°, β = 110.63° and γ = 90.00°. The asymmetric unit holds Pu at (0.129, 0.250, 0.395), Pu at (0.224, 0.250, 0.922), Ge at (0.388, 0.750, 0.668), H at (0.119, 0.750, 0.985) and Pd at (0.362, 0.750, 0.258).

The value obtained for the total magnetization is 2.24 μB/atom. The value obtained for the density of states at the Fermi level is 3.05 states/eV per atom.

=====

Here is a geometry-optimized GeHPd2Rh structure from Alexandria via LeMat-Bulk. Energies are from PBE.

It has space group P4/mmm (No. 123), with a = 3.928 Å, b = 3.928 Å, c = 4.034 Å, α = 90.00°, β = 90.00° and γ = 90.00°. The asymmetric unit holds Ge at (0.000, 0.000, 0.000), H at (0.500, 0.500, 0.500), Pd at (0.000, 0.500, 0.500) and Rh at (0.500, 0.500, 0.000).

The value obtained for the total magnetization is 0.00 μB/atom. The value obtained for the density of states at the Fermi level is 0.12 states/eV per atom.

=====

Here is a geometry-optimized GeHPd2Ru structure from Alexandria via LeMat-Bulk. Energies are from PBE.

It has space group P4/mmm (No. 123), with a = 3.902 Å, b = 3.902 Å, c = 4.069 Å, α = 90.00°, β = 90.00° and γ = 90.00°. The asymmetric unit holds Ge at (0.000, 0.000, 0.000), H at (0.500, 0.500, 0.500), Pd at (0.000, 0.500, 0.500) and Ru at (0.500, 0.500, 0.000).

The value obtained for the total magnetization is 0.00 μB/atom. The value obtained for the density of states at the Fermi level is 0.68 states/eV per atom.

=====

Here is a geometry-optimized ScGeHPd2 structure from Alexandria via LeMat-Bulk. Energies are from PBE.

It has space group P4/mmm (No. 123), with a = 4.012 Å, b = 4.012 Å, c = 4.290 Å, α = 90.00°, β = 90.00° and γ = 90.00°. The asymmetric unit holds Sc at (0.000, 0.000, 0.000), Ge at (0.500, 0.500, 0.000), H at (0.000, 0.000, 0.500) and Pd at (0.000, 0.500, 0.500).

The value obtained for the total magnetization is 0.00 μB/atom. The value obtained for the density of states at the Fermi level is 0.77 states/eV per atom.

=====

Here is a geometry-optimized Sm2GeHPd6 structure from Alexandria via LeMat-Bulk. Energies are from PBE.

It has space group C2/m (No. 12), with a = 9.951 Å, b = 5.738 Å, c = 6.892 Å, α = 90.00°, β = 119.17° and γ = 90.00°. The asymmetric unit holds Sm at (0.224, 0.000, 0.176), Ge at (0.000, 0.500, 0.000), H at (0.000, 0.000, 0.500), Pd at (0.018, 0.248, 0.308) and Pd at (0.230, 0.000, 0.688).

The value obtained for the total magnetization is 0.00 μB/atom. The value obtained for the density of states at the Fermi level is 0.46 states/eV per atom.

=====

Here is a geometry-optimized SmGeHPd2 structure from Alexandria via LeMat-Bulk. Energies are from PBE.

It has space group Cmcm (No. 63), with a = 3.979 Å, b = 10.885 Å, c = 7.393 Å, α = 90.00°, β = 90.00° and γ = 90.00°. The asymmetric unit holds Sm at (0.000, 0.056, 0.250), Ge at (0.000, 0.228, 0.750), H at (0.000, 0.500, 0.000) and Pd at (0.000, 0.342, 0.055).

The value obtained for the total magnetization is 0.00 μB/atom. The value obtained for the density of states at the Fermi level is 0.27 states/eV per atom.

=====

Here is a geometry-optimized Sn2GeH2Pd7 structure from Alexandria via LeMat-Bulk. Energies are from PBE.

It has space group C2/m (No. 12), with a = 5.619 Å, b = 5.611 Å, c = 11.472 Å, α = 90.00°, β = 104.14° and γ = 90.00°. The asymmetric unit holds Sn at (0.194, 0.000, 0.391), Ge at (0.000, 0.000, 0.000), H at (0.087, 0.500, 0.176), Pd at (0.000, 0.500, 0.000), Pd at (0.161, 0.250, 0.820) and Pd at (0.182, 0.500, 0.365).

The value obtained for the total magnetization is 0.00 μB/atom. The value obtained for the density of states at the Fermi level is 0.28 states/eV per atom.

=====

Here is a geometry-optimized Sr2GeHPd6 structure from Alexandria via LeMat-Bulk. Energies are from PBE.

It has space group C2/m (No. 12), with a = 10.265 Å, b = 5.925 Å, c = 6.805 Å, α = 90.00°, β = 119.86° and γ = 90.00°. The asymmetric unit holds Sr at (0.226, 0.000, 0.176), Ge at (0.000, 0.500, 0.000), H at (0.000, 0.000, 0.500), Pd at (0.022, 0.251, 0.313) and Pd at (0.230, 0.000, 0.687).

The value obtained for the total magnetization is 0.00 μB/atom. The value obtained for the density of states at the Fermi level is 0.11 states/eV per atom.

=====

no.,DFT total energy (eV/atom)
1,-5.3790
2,-5.5401
3,-5.1462
4,-7.0760
5,-8.7836
6,-5.4083
7,-5.6321
8,-5.4569
9,-5.5511
10,-5.3740
11,-4.9633
12,-4.8308